# 1
# MgPtAu2, optimized geometry, DFT PBE-GGA
# Energy of formation from the pure elements: -0.71 eV per formula unit
# Total magnetization: 0.00 Bohr magnetons per cell
data_MgPtAu2
_symmetry_space_group_name_H-M 'R -3 m'
_symmetry_Int_Tables_number 166
_symmetry_space_group_name_Hall '-R 3 2"'
_cell_length_a 2.9304
_cell_length_b 2.9304
_cell_length_c 27.6875
_cell_angle_alpha 90.00
_cell_angle_beta 90.00
_cell_angle_gamma 120.00
loop_
_atom_site_label
_atom_site_fract_x
_atom_site_fract_y
_atom_site_fract_z
Mg1 0.0000 0.0000 0.0000
Pt1 0.0000 0.0000 0.5000
Au1 0.0000 0.0000 0.2529

=====

# 2
# Mg2PtAu, optimized geometry, DFT PBE-GGA
# Energy of formation from the pure elements: -2.92 eV per formula unit
# Total magnetization: 0.00 Bohr magnetons per cell
data_Mg2PtAu
_symmetry_space_group_name_H-M 'P m m 2'
_symmetry_Int_Tables_number 25
_cell_length_a 3.061
_cell_length_b 4.700
_cell_length_c 4.702
_cell_angle_alpha 90.00
_cell_angle_beta 90.00
_cell_angle_gamma 90.00
loop_
_symmetry_equiv_pos_as_xyz
'x,y,z'
'-x,-y,z'
'-x,y,z'
'x,-y,z'
loop_
_atom_site_label
_atom_site_fract_x
_atom_site_fract_y
_atom_site_fract_z
Mg1 0.000 0.000 0.000
Mg2 0.000 0.500 0.486
Pt1 0.500 0.500 0.986
Au1 0.500 0.000 0.501

=====

# 3
# MgPtAu2, optimized geometry, DFT PBE-GGA
# Energy of formation from the pure elements: -1.49 eV per formula unit
# Total magnetization: 0.00 Bohr magnetons per cell
data_MgPtAu2
_symmetry_space_group_name_H-M 'F -4 3 m'
_symmetry_Int_Tables_number 216
_symmetry_space_group_name_Hall 'F -4 2 3'
_cell_length_a 6.511
_cell_length_b 6.511
_cell_length_c 6.511
_cell_angle_alpha 90.00
_cell_angle_beta 90.00
_cell_angle_gamma 90.00
loop_
_atom_site_label
_atom_site_fract_x
_atom_site_fract_y
_atom_site_fract_z
Mg1 0.000 0.000 0.000
Pt1 0.250 0.250 0.750
Au1 0.000 0.000 0.500
Au2 0.250 0.250 0.250

=====

# 4
# Mg2PtAu, optimized geometry, DFT PBE-GGA
# Energy of formation from the pure elements: -2.94 eV per formula unit
# Total magnetization: 0.00 Bohr magnetons per cell
data_Mg2PtAu
_symmetry_space_group_name_H-M 'P 1 2/m 1'
_symmetry_Int_Tables_number 10
_cell_length_a 3.209
_cell_length_b 3.061
_cell_length_c 6.899
_cell_angle_alpha 90.00
_cell_angle_beta 90.21
_cell_angle_gamma 90.00
loop_
_symmetry_equiv_pos_as_xyz
'x,y,z'
'-x,-y,-z'
'-x,y,-z'
'x,-y,z'
loop_
_atom_site_label
_atom_site_fract_x
_atom_site_fract_y
_atom_site_fract_z
Mg1 0.001 0.000 0.237
Pt1 0.500 0.500 0.000
Au1 0.500 0.500 0.500

=====

# 5
# Mg2PtAu, optimized geometry, DFT PBE-GGA
# Energy of formation from the pure elements: -1.58 eV per formula unit
# Total magnetization: 0.00 Bohr magnetons per cell
data_Mg2PtAu
_symmetry_space_group_name_H-M 'I -4 2 d'
_symmetry_Int_Tables_number 122
_symmetry_space_group_name_Hall 'I -4 2bw'
_cell_length_a 7.222
_cell_length_b 7.222
_cell_length_c 5.714
_cell_angle_alpha 90.00
_cell_angle_beta 90.00
_cell_angle_gamma 90.00
loop_
_atom_site_label
_atom_site_fract_x
_atom_site_fract_y
_atom_site_fract_z
Mg1 0.241 0.250 0.125
Pt1 0.000 0.000 0.000
Au1 0.000 0.000 0.500

=====

# 6
# Mg3Pt2Au4, optimized geometry, DFT PBE-GGA
# Energy of formation from the pure elements: -4.50 eV per formula unit
# Total magnetization: 0.00 Bohr magnetons per cell
data_Mg3Pt2Au4
_symmetry_space_group_name_H-M 'C 1 2/c 1'
_symmetry_Int_Tables_number 15
_cell_length_a 13.202
_cell_length_b 9.682
_cell_length_c 4.975
_cell_angle_alpha 90.00
_cell_angle_beta 100.05
_cell_angle_gamma 90.00
loop_
_symmetry_equiv_pos_as_xyz
'x,y,z'
'-x,-y,-z'
'-x,y,-z+1/2'
'x,-y,z+1/2'
'x+1/2,y+1/2,z'
'-x+1/2,-y+1/2,-z'
'-x+1/2,y+1/2,-z+1/2'
'x+1/2,-y+1/2,z+1/2'
loop_
_atom_site_label
_atom_site_fract_x
_atom_site_fract_y
_atom_site_fract_z
Mg1 0.000 0.115 0.250
Mg2 0.170 0.369 0.080
Pt1 0.109 0.128 0.812
Au1 0.055 0.373 0.528
Au2 0.220 0.120 0.370

=====

Question: The lowest energy of formation from the pure elements belongs to which entry?
Answer: Mg3Pt2Au4